Compound: Li4Ni3O4
Source: the Alexandria database
Functional: PBE+U
Structure: optimized geometry

Output
spin magnetization = 3.8 μB/f.u.
DOS(E_F) = 0.157 states/eV per atom
raw total energy = -45.895 eV per cell

CIF file:
```
data_Li4Ni3O4
_symmetry_space_group_name_H-M 'P 1'
_symmetry_Int_Tables_number 1
_cell_length_a 2.892
_cell_length_b 5.956
_cell_length_c 6.561
_cell_angle_alpha 116.99
_cell_angle_beta 102.73
_cell_angle_gamma 90.00
loop_
_symmetry_equiv_pos_as_xyz
'x,y,z'
loop_
_atom_site_label
_atom_site_fract_x
_atom_site_fract_y
_atom_site_fract_z
_atom_site_occupancy
Ni1 0.895 0.895 0.790 1
Li1 0.327 0.512 0.655 1
O1 0.740 0.240 0.480 1
Li2 0.673 0.857 0.345 1
Ni2 0.105 0.105 0.210 1
Li3 0.327 0.143 0.655 1
O2 0.260 0.760 0.520 1
O3 0.500 0.246 0.000 1
Li4 0.673 0.488 0.345 1
O4 0.500 0.754 0.000 1
Ni3 0.000 0.500 0.000 1
```